1.
## VFeP2S (PBE-GGA)

Data for a relaxed VFeP2S crystal.

```
VFeP2S
1.0
4.181 0.000 0.000
0.000 4.181 0.000
0.000 0.000 4.769
V Fe P S
1 1 2 1
Direct
0.000 0.000 0.000
0.500 0.500 0.500
0.000 0.500 0.500
0.500 0.000 0.500
0.500 0.500 0.000
```

Values from the calculation:
- Crystal system: tetragonal
- SG: P4/mmm
- Formation energy (no corrections): 0.67 eV per atom
- Energy above the most stable polymorph in this dataset: 8.7 kJ/mol of atoms

2.
## Ho12Tl6Ga (PBE-GGA)

Data for a relaxed Ho12Tl6Ga crystal.

```
Ho12Tl6Ga
1.0
6.689 3.862 4.119
-6.689 3.862 4.119
0.000 -7.724 4.119
Ho Tl Ga
12 6 1
Direct
0.048 0.934 0.682
0.066 0.318 0.952
0.181 0.569 0.430
0.318 0.952 0.066
0.430 0.181 0.569
0.431 0.570 0.819
0.569 0.430 0.181
0.570 0.819 0.431
0.682 0.048 0.934
0.819 0.431 0.570
0.934 0.682 0.048
0.952 0.066 0.318
0.134 0.302 0.617
0.302 0.617 0.134
0.383 0.866 0.698
0.617 0.134 0.302
0.698 0.383 0.866
0.866 0.698 0.383
0.000 0.000 0.000
```

Values from the calculation:
- Crystal system: trigonal
- SG: R-3
- Formation energy: -0.01 eV/atom

3.
## Sn2GeTe2Pd7 (PBE-GGA)

Data for a relaxed Sn2GeTe2Pd7 crystal.

```
Sn2GeTe2Pd7
1.0
2.802 -2.803 0.000
2.802 2.803 0.000
-2.773 0.000 15.610
Sn Ge Te Pd
2 1 2 7
Direct
0.118 0.118 0.240
0.882 0.882 0.760
0.500 0.500 0.000
0.294 0.294 0.585
0.706 0.706 0.415
0.000 0.000 0.000
0.061 0.561 0.125
0.203 0.203 0.410
0.439 0.939 0.875
0.561 0.061 0.125
0.797 0.797 0.590
0.939 0.439 0.875
```

Values from the calculation:
- Crystal system: monoclinic
- SG: C2/m
- Formation energy (no corrections): -0.34 eV per atom

4.
## MnGaAuSe2 (PBE-GGA)

Data for a relaxed MnGaAuSe2 crystal.

```
MnGaAuSe2
1.0
5.400 0.000 0.000
0.000 5.400 0.000
0.000 0.000 4.772
Mn Ga Au Se
1 1 1 2
Direct
0.000 0.000 0.000
0.500 0.500 0.000
0.500 0.500 0.500
0.000 0.500 0.500
0.500 0.000 0.500
```

Values from the calculation:
- Crystal system: tetragonal
- SG: P4/mmm
- Formation energy (no corrections): 0.54 eV per atom

5.
## LiTmGaIr (PBE-GGA)

Data for a relaxed LiTmGaIr crystal.

```
LiTmGaIr
1.0
0.000 3.240 3.240
3.240 0.000 3.240
3.240 3.240 0.000
Li Tm Ga Ir
1 1 1 1
Direct
0.000 0.000 0.000
0.750 0.750 0.750
0.250 0.250 0.250
0.500 0.500 0.500
```

Values from the calculation:
- Crystal system: cubic
- SG: F-43m
- Formation energy: -0.59 eV/atom

6.
## ScNb3Cr (PBE-GGA)

Data for a relaxed ScNb3Cr crystal.

```
ScNb3Cr
1.0
4.755 0.000 0.000
0.000 4.755 0.000
0.000 0.000 4.755
Sc Nb Cr
1 3 1
Direct
0.000 0.000 0.000
0.000 0.000 0.500
0.000 0.500 0.000
0.500 0.000 0.000
0.500 0.500 0.500
```

Values from the calculation:
- Crystal system: cubic
- SG: Pm-3m
- Formation energy: 1.78 eV/atom

Per-record calculated volume, Å³/atom: 16.7 33.6 20.4 27.8 17.0 21.5
Per-record density, g/cm³: 4.00 8.52 8.87 5.72 10.69 5.80